Entry 1:
First-principles (meta-GGA SCAN) data for a crystal of SrAsW2 relaxed with PBEsol, as listed in Alexandria via LeMat-Bulk.

Output
* DFT formation energy: 1.015 eV/atom
* N(E_F): 0.572 states/eV/atom
* total DFT energy (no corrections): -44.445 eV/atom

a b c (Å): 3.394 4.758 9.277
angles (deg): 90.00 90.00 90.00
Space group Cmmm (No. 65)
Unique sites:
Sr 0.000 0.000 0.000 (multiplicity 2)
As 0.000 0.000 0.500 (multiplicity 2)
W 0.000 0.500 0.296 (multiplicity 4)


Entry 2:
First-principles (meta-GGA SCAN) data for a crystal of LiBeFe2 relaxed with PBEsol, as listed in Alexandria via LeMat-Bulk.

Output
* DFT formation energy: 0.166 eV/atom
* N(E_F): 0.431 states/eV/atom
* total DFT energy (no corrections): -10.584 eV/atom

a b c (Å): 8.026 2.359 4.341
angles (deg): 90.00 97.12 90.00
Space group Cm (No. 8)
Unique sites:
Li 0.000 0.000 0.000 (multiplicity 2)
Be 0.246 0.000 0.756 (multiplicity 2)
Fe 0.012 0.500 0.507 (multiplicity 2)
Fe 0.259 0.500 0.278 (multiplicity 2)


Entry 3:
First-principles (meta-GGA SCAN) data for a crystal of Fe5Ir relaxed with PBEsol, as listed in Alexandria via LeMat-Bulk.

Output
* DFT formation energy: 0.326 eV/atom
* N(E_F): 1.148 states/eV/atom
* total DFT energy (no corrections): -26.632 eV/atom
* relative energy among the computed polymorphs: 206.0 meV/atom

a b c (Å): 4.3157 4.3157 3.9248
angles (deg): 90.00 90.00 120.00
Space group P-62m (No. 189)
Unique sites:
Fe 0.0000 0.3520 0.0000 (multiplicity 3)
Fe 0.3333 0.6667 0.5000 (multiplicity 2)
Ir 0.0000 0.0000 0.5000 (multiplicity 1)


Entry 4:
First-principles (meta-GGA SCAN) data for a crystal of GePPtCl2 relaxed with PBEsol, as listed in Alexandria via LeMat-Bulk.

Output
* N(E_F): 0.467 states/eV/atom
* total DFT energy (no corrections): -22.836 eV/atom
* E_form (uncorrected): 1.457 eV/f.u.
* relative energy among the computed polymorphs: 0.0 meV/atom

a b c (Å): 4.719 4.719 4.565
angles (deg): 90.00 90.00 90.00
Space group P4/mmm (No. 123)
Unique sites:
Ge 0.000 0.000 0.000 (multiplicity 1)
P 0.500 0.500 0.500 (multiplicity 1)
Pt 0.500 0.500 0.000 (multiplicity 1)
Cl 0.000 0.500 0.500 (multiplicity 2)


Entry 5:
First-principles (meta-GGA SCAN) data for a crystal of CaNiSn3 relaxed with PBEsol, as listed in Alexandria via LeMat-Bulk.

Output
* DFT formation energy: -0.145 eV/atom
* N(E_F): 0.456 states/eV/atom
* total DFT energy (no corrections): -26.865 eV/atom

a b c (Å): 4.992 4.992 4.992
angles (deg): 90.00 90.00 90.00
Space group Pm-3m (No. 221)
Unique sites:
Ca 0.000 0.000 0.000 (multiplicity 1)
Ni 0.500 0.500 0.500 (multiplicity 1)
Sn 0.000 0.500 0.500 (multiplicity 3)


Entry 6:
First-principles (meta-GGA SCAN) data for a crystal of FeTeRu relaxed with PBEsol, as listed in Alexandria via LeMat-Bulk.

Output
* N(E_F): 0.698 states/eV/atom
* total DFT energy (no corrections): -29.760 eV/atom
* E_form (uncorrected): 0.927 eV/f.u.

a b c (Å): 5.802 5.802 5.802
angles (deg): 90.00 90.00 90.00
Space group F-43m (No. 216)
Unique sites:
Fe 0.000 0.000 0.000 (multiplicity 4)
Te 0.250 0.250 0.250 (multiplicity 4)
Ru 0.250 0.250 0.750 (multiplicity 4)


Q: Among the records above, which one has the highest N(E_F)?
A: Fe5Ir